# FeAgPt2, relaxed, DFT PBE
data_FeAgPt2
_chemical_formula_sum 'Fe1 Ag1 Pt2'
_cell_length_a 2.7990
_cell_length_b 2.7990
_cell_length_c 7.8333
_cell_angle_alpha 90.00
_cell_angle_beta 90.00
_cell_angle_gamma 90.00
_symmetry_space_group_name_H-M 'P 4/m m m'
_symmetry_Int_Tables_number 123
_symmetry_space_group_name_Hall '-P 4 2'
loop_
_atom_site_label
_atom_site_type_symbol
_atom_site_fract_x
_atom_site_fract_y
_atom_site_fract_z
Fe1 Fe 0.0000 0.0000 0.0000
Ag1 Ag 0.0000 0.0000 0.5000
Pt1 Pt 0.5000 0.5000 0.2247
# **Total DFT energy (no corrections)**: -5.993 eV/atom
# **Total magnetization**: 3.61 μB/f.u.
# **N(E_F)**: 0.749 states/eV/atom